First-principles (PBE) data for crystalline TiGaFe2 at its relaxed geometry, as listed in the Alexandria database.

POSCAR file:
```
TiGaFe2
1.0
-1.554 1.521 -2.093
2.045 -1.925 -2.918
-2.805 -2.921 -0.040
Fe Ga Ti
2 1 1
direct
0.000 0.000 0.500
0.000 0.500 0.000
0.500 0.500 0.500
0.500 0.000 0.000
```

Formation enthalpy at 0 K in meV/atom: -315
Space-group type: P4/mmm, No. 123